No. 1
DFT (PBE) results for a geometry-optimized ErTmAsO structure.

energy above the lowest structure with this stoichiometry	0.079	eV per atom
density	8.94	g/cm³

Unit cell a=4.295 b=4.295 c=8.605 alpha=90.00 beta=90.00 gamma=90.00
Fractional coordinates of all 8 atoms:
O 0.750 0.250 0.000
O 0.250 0.750 0.000
Tm 0.250 0.750 0.500
Tm 0.750 0.250 0.500
As 0.750 0.750 0.295
As 0.250 0.250 0.705
Er 0.750 0.750 0.900
Er 0.250 0.250 0.100

No. 2
DFT (PBE) results for a geometry-optimized ErTmAsO structure.

energy above the lowest structure with this stoichiometry	0.079	eV per atom
density	8.90	g/cm³

Unit cell a=4.298 b=4.298 c=8.623 alpha=90.00 beta=90.00 gamma=90.00
Fractional coordinates of all 8 atoms:
Er 0.000 0.500 0.901
Er 0.500 0.000 0.099
O 0.500 0.500 0.000
O 0.000 0.000 0.000
Tm 0.000 0.000 0.500
Tm 0.500 0.500 0.500
As 0.000 0.500 0.295
As 0.500 0.000 0.705

- Number 1 is which compound?
  ErTmAsO

- What is the density in the second record?
  8.90 g/cm³

- What is the density in the first record?
  8.94 g/cm³

- Which value of density does entry 2 give?
  8.90 g/cm³